*1*
This record from the Alexandria database describes crystalline Mg6AlZn2 at its relaxed geometry. The functional is GGA-PBE.

a = 6.9110 Å, b = 6.9110 Å, c = 9.4585 Å
α = 90.00°, β = 90.00°, γ = 90.00°
Fractional coordinates of all 18 atoms:
Mg 0.1852 0.1852 0.0000
Mg 0.2442 0.2442 0.3358
Mg 0.2442 0.2442 0.6642
Mg 0.2558 0.7442 0.1642
Mg 0.2558 0.7442 0.8358
Mg 0.3148 0.6852 0.5000
Mg 0.6852 0.3148 0.5000
Mg 0.7442 0.2558 0.1642
Mg 0.7442 0.2558 0.8358
Mg 0.7558 0.7558 0.3358
Mg 0.7558 0.7558 0.6642
Mg 0.8148 0.8148 0.0000
Al 0.0000 0.0000 0.5000
Al 0.5000 0.5000 0.0000
Zn 0.0000 0.0000 0.2258
Zn 0.0000 0.0000 0.7742
Zn 0.5000 0.5000 0.2742
Zn 0.5000 0.5000 0.7258

Properties
Symmetry: No. 136
V, Å³/atom: 25.10



*2*
This record from the Alexandria database describes crystalline Mg6AlZn2 at its relaxed geometry. The functional is GGA-PBE.

a = 7.8495 Å, b = 7.8495 Å, c = 7.8495 Å
α = 114.82°, β = 109.33°, γ = 104.44°
Fractional coordinates of all 18 atoms:
Mg 0.0420 0.8277 0.2144
Mg 0.2537 0.5580 0.3043
Mg 0.2537 0.9493 0.6957
Mg 0.2804 0.3121 0.5925
Mg 0.2804 0.6879 0.9682
Mg 0.3867 0.1723 0.2144
Mg 0.6133 0.8277 0.7856
Mg 0.7196 0.3121 0.0318
Mg 0.7196 0.6879 0.4075
Mg 0.7463 0.0507 0.3043
Mg 0.7463 0.4420 0.6957
Mg 0.9580 0.1723 0.7856
Al 0.0000 0.5000 0.5000
Al 0.5000 0.0000 0.5000
Zn 0.0000 0.1592 0.1592
Zn 0.0000 0.8408 0.8408
Zn 0.3689 0.3689 0.0000
Zn 0.6311 0.6311 0.0000

Properties
Symmetry: No. 71
V, Å³/atom: 20.51



It turns out *2* is the most stable, with the second structure 219 meV/atom higher.



*1*
This record from the Alexandria database describes crystalline MgAl3Zn3 at its relaxed geometry. The functional is GGA-PBE.

a = 7.0491 Å, b = 7.0491 Å, c = 7.0491 Å
α = 90.00°, β = 90.00°, γ = 90.00°
Fractional coordinates of all 14 atoms:
Mg 0.0000 0.0000 0.0000
Mg 0.5000 0.5000 0.5000
Al 0.0000 0.2500 0.5000
Al 0.0000 0.7500 0.5000
Al 0.2500 0.5000 0.0000
Al 0.5000 0.0000 0.2500
Al 0.5000 0.0000 0.7500
Al 0.7500 0.5000 0.0000
Zn 0.0000 0.5000 0.2500
Zn 0.0000 0.5000 0.7500
Zn 0.2500 0.0000 0.5000
Zn 0.5000 0.2500 0.0000
Zn 0.5000 0.7500 0.0000
Zn 0.7500 0.0000 0.5000

Properties
Symmetry: No. 223
V, Å³/atom: 25.02



*2*
This record from the Alexandria database describes crystalline MgAl3Zn3 at its relaxed geometry. The functional is GGA-PBE.

a = 7.9079 Å, b = 7.9079 Å, c = 4.3659 Å
α = 90.00°, β = 90.00°, γ = 120.00°
Fractional coordinates of all 14 atoms:
Mg 0.3333 0.6667 0.2500
Mg 0.6667 0.3333 0.7500
Al 0.0073 0.7819 0.7500
Al 0.2181 0.2254 0.7500
Al 0.2254 0.0073 0.2500
Al 0.7746 0.9927 0.7500
Al 0.7819 0.7746 0.2500
Al 0.9927 0.2181 0.2500
Zn 0.0882 0.4805 0.7500
Zn 0.3923 0.9118 0.7500
Zn 0.4805 0.3923 0.2500
Zn 0.5195 0.6077 0.7500
Zn 0.6077 0.0882 0.2500
Zn 0.9118 0.5195 0.2500

Properties
Symmetry: No. 176
V, Å³/atom: 16.89



It turns out *2* is the most stable, with the second structure 542 meV/atom higher.